# 1
# TlNiSn2 | Alexandria via LeMat-Bulk | PBE | relaxed
data_TlNiSn2
_chemical_formula_sum 'Tl4 Ni4 Sn8'
_space_group_name_H-M_alt 'F m -3 m'
_space_group_IT_number 225
_space_group_name_Hall '-F 4 2 3'
_cell_length_a 7.1811
_cell_length_b 7.1811
_cell_length_c 7.1811
_cell_angle_alpha 90.00
_cell_angle_beta 90.00
_cell_angle_gamma 90.00
loop_
_atom_site_label
_atom_site_fract_x
_atom_site_fract_y
_atom_site_fract_z
Tl1 0.0000 0.0000 0.0000
Ni1 0.0000 0.0000 0.5000
Sn1 0.2500 0.2500 0.2500
# **Uncorrected energy**: -3.703 eV per atom
# **Energy above the most stable polymorph in this dataset**: 1.450 eV/f.u.
# **Energy of formation from the pure elements**: 0.336 eV per atom
# **Size of the total moment**: 0.000 μB per formula unit

---

# 2
# PmScHg3 | Alexandria via LeMat-Bulk | PBE | relaxed
data_PmScHg3
_chemical_formula_sum 'Pm4 Sc4 Hg12'
_space_group_name_H-M_alt 'C m c m'
_space_group_IT_number 63
_space_group_name_Hall '-C 2c 2'
_cell_length_a 3.4510
_cell_length_b 28.8650
_cell_length_c 4.8816
_cell_angle_alpha 90.00
_cell_angle_beta 90.00
_cell_angle_gamma 90.00
loop_
_atom_site_label
_atom_site_fract_x
_atom_site_fract_y
_atom_site_fract_z
Pm1 0.0000 0.0775 0.2500
Sc1 0.0000 0.2125 0.7500
Hg1 0.0000 0.3125 0.7500
Hg2 0.0000 0.3729 0.2500
Hg3 0.0000 0.4743 0.2500
# **Uncorrected energy**: -2.790 eV per atom
# **Energy of formation from the pure elements**: -0.392 eV per atom
# **Size of the total moment**: 0.241 μB per formula unit

---

# 3
# CaTl4Si2 | Alexandria via LeMat-Bulk | PBE | relaxed
data_CaTl4Si2
_chemical_formula_sum 'Ca2 Tl8 Si4'
_space_group_name_H-M_alt 'I 4/m m m'
_space_group_IT_number 139
_space_group_name_Hall '-I 4 2'
_cell_length_a 5.9711
_cell_length_b 5.9711
_cell_length_c 14.0236
_cell_angle_alpha 90.00
_cell_angle_beta 90.00
_cell_angle_gamma 90.00
loop_
_atom_site_label
_atom_site_fract_x
_atom_site_fract_y
_atom_site_fract_z
Ca1 0.0000 0.0000 0.0000
Tl1 0.0000 0.0000 0.2261
Tl2 0.0000 0.5000 0.0000
Si1 0.0000 0.0000 0.4185
# **Uncorrected energy**: -2.711 eV per atom
# **Energy relative to the elements, uncorrected**: 0.476 eV per atom
# **Size of the total moment**: 0.000 μB per formula unit